The following is a DFT calculation (GGA-PBE) of a relaxed structure of Ce3Dy2Hg7.

a = 3.9229 Å, b = 5.1671 Å, c = 16.9176 Å
α = 98.78°, β = 90.00°, γ = 90.00°
Closest atoms and distances in Å follow each position.
Atoms (fractional coordinates):
Hg: 0.0000 0.5871 0.1742  2 Dy 3.05, 4 Hg 3.31
Hg: 0.5000 0.9330 0.8659  6 Hg 2.98-3.31, 2 Dy 3.01
Hg: 0.5000 0.0670 0.1341  6 Hg 2.98-3.31, 2 Dy 3.01
Hg: 0.0000 0.4129 0.8258  2 Dy 3.05, 4 Hg 3.31
Dy: 0.0000 0.8646 0.7293  5 Hg 2.98-3.05
Ce: 0.5000 0.5000 0.0000  12 Hg 3.24-3.51
Hg: 0.0000 0.7754 0.5508  1 Dy 2.98, 2 Hg 3.09
Hg: 0.0000 0.2246 0.4492  1 Dy 2.98, 2 Hg 3.09
Ce: 0.5000 0.3079 0.6159  6 Hg 3.41-3.42, 4 Dy 3.76
Ce: 0.5000 0.6921 0.3841  6 Hg 3.41-3.42, 4 Dy 3.76
Dy: 0.0000 0.1354 0.2707  5 Hg 2.98-3.05
Hg: 0.0000 0.0000 0.0000  4 Hg 2.98, 4 Ce 3.24

Results
M_tot: 0.11 μB per atom
DFT formation energy: -2.1 eV/f.u.